Li2NbAl2 (GGA-PBE, optimized geometry); excess energy over the best structure of this formula in the dataset = 0.0 meV per atom; formation enthalpy at 0 K = -0.06 eV per atom
1.0
7.425 0.000 0.000
0.000 7.425 0.000
0.000 0.000 2.751
Li Nb Al
4 2 4
direct
0.116 0.384 0.000
0.384 0.884 0.000
0.616 0.116 0.000
0.884 0.616 0.000
0.000 0.000 0.000
0.500 0.500 0.000
0.182 0.682 0.500
0.318 0.182 0.500
0.682 0.818 0.500
0.818 0.318 0.500

***

Y2ScPaP4 (GGA-PBE, optimized geometry); formation enthalpy at 0 K = -1.51 eV per atom
1.0
6.787 0.000 0.000
0.000 3.952 0.000
-2.280 0.000 6.452
Y Sc Pa P
2 1 1 4
direct
0.000 0.000 0.000
0.500 0.500 0.000
0.000 0.500 0.500
0.500 0.000 0.500
0.243 0.000 0.737
0.248 0.500 0.258
0.752 0.500 0.742
0.757 0.000 0.263

***

In2PbAu (GGA-PBE, optimized geometry); formation enthalpy at 0 K = -0.06 eV per atom
1.0
2.286 1.320 6.057
-2.286 1.320 6.057
0.000 -2.639 6.057
In Pb Au
2 1 1
direct
0.000 0.000 0.000
0.210 0.210 0.210
0.775 0.775 0.775
0.603 0.603 0.603

***

RbZnIn2Hg (GGA-PBE, optimized geometry); formation enthalpy at 0 K = 0.06 eV per atom
1.0
5.420 0.000 0.000
0.000 5.420 0.000
0.000 0.000 5.529
Rb Zn In Hg
1 1 2 1
direct
0.000 0.000 0.000
0.500 0.500 0.500
0.000 0.500 0.500
0.500 0.000 0.500
0.500 0.500 0.000

***

PuCd12 (GGA-PBE, optimized geometry); formation enthalpy at 0 K = -0.02 eV per atom
1.0
-5.018 5.018 2.980
5.018 -5.018 2.980
5.018 5.018 -2.980
Pu Cd
1 12
direct
0.000 0.000 0.000
0.000 0.000 0.500
0.000 0.351 0.351
0.000 0.500 0.000
0.000 0.649 0.649
0.288 0.500 0.788
0.351 0.000 0.351
0.500 0.000 0.000
0.500 0.288 0.788
0.500 0.500 0.500
0.500 0.712 0.212
0.649 0.000 0.649
0.712 0.500 0.212

***

LaHfSi2Pt (GGA-PBE, optimized geometry); formation energy (no corrections) = 806 meV/atom
1.0
4.959 0.000 0.000
0.000 4.959 0.000
0.000 0.000 5.579
La Hf Si Pt
1 1 2 1
direct
0.000 0.000 0.000
0.000 0.000 0.500
0.000 0.500 0.500
0.500 0.000 0.500
0.500 0.500 0.000

***

Number 1: E -4.337 eV/atom. Number 2: E -7.809 eV/atom. Number 3: E -3.181 eV/atom. Number 4: E -1.546 eV/atom. Number 5: E -1.964 eV/atom. Number 6: E -5.547 eV/atom.